A plane-wave DFT calculation with PBE was carried out for a relaxed structure of SbPd3C.

Geometry as POSCAR:
```
SbPd3C
1.0
4.926 0.000 0.000
0.000 4.926 0.000
0.000 0.000 4.926
Sb Pd C
1 3 1
Direct
0.000 0.000 0.000
0.000 0.000 0.500
0.000 0.500 0.000
0.500 0.000 0.000
0.500 0.500 0.500
```

* crystal system: cubic
* uncorrected energy: -4.00 eV per atom
* energy above the most stable polymorph in this dataset: 1627 meV/atom
* ΔE_f (raw): 8.938 eV/f.u.